38
Lattice="-2.096 6.188 1.094 -7.440 -2.445 -0.428 0.456 -1.818 11.164" Properties=species:S:1:pos:R:3 comment="Sb3P3O13 (GGA-PBEsol, optimized geometry)" vol_a3_per_cell=587.7 space_group="No. 11" raw_formation_energy_ev_per_atom=-1.767 pbc="T T T"
Sb -1.048 3.094 0.547
Sb -5.038 -1.518 8.965
Sb 0.000 0.000 0.000
Sb -4.042 3.444 2.864
Sb -2.139 -0.029 6.096
Sb -6.941 1.955 5.733
O -3.414 1.495 2.607
O -2.447 4.135 2.009
O -6.634 -2.209 9.819
O -6.675 -0.099 5.279
O -5.439 -1.318 7.068
O -7.464 1.431 7.693
O -3.187 4.332 6.957
O -5.895 2.733 3.330
O -2.406 2.025 6.549
O -3.642 3.244 4.761
O -6.793 1.424 1.295
O -8.027 0.822 10.058
O -2.287 0.501 10.534
O -3.185 -0.808 8.499
O -5.666 0.430 9.222
O -3.968 -1.453 10.652
O -8.722 1.505 4.862
O -5.113 3.379 1.177
O -2.622 -0.842 2.194
O -0.358 0.420 6.967
O -7.600 3.806 1.716
O -5.893 -2.406 4.872
O -6.458 2.768 9.635
O -1.481 -1.880 10.113
O -1.054 1.103 1.770
O -1.616 0.495 4.136
P -6.492 -1.470 5.907
P -6.455 2.811 1.820
P -2.626 -0.885 10.009
P -2.185 0.554 2.708
P -2.588 3.396 5.922
P -6.895 1.372 9.120